Entry 1:
Entry from Alexandria: crystalline Be3SiPb at its relaxed geometry (PBE).

a = 4.6335 Å, b = 4.6335 Å, c = 4.6335 Å
α = 90.00°, β = 90.00°, γ = 90.00°
Fractional positions:
Be1 0.0000 0.0000 0.5000
Be2 0.0000 0.5000 0.0000
Be3 0.5000 0.0000 0.0000
Si1 0.5000 0.5000 0.5000
Pb1 0.0000 0.0000 0.0000

Output
Space-group type ... No. 221
Offset from the most stable computed form ... 3.90 eV per formula unit
Formation energy (no corrections) ... 1.587 eV/atom

---

Entry 2:
Entry from Alexandria: crystalline PrY2ErP4 at its relaxed geometry (PBE).

a = 7.0170 Å, b = 4.0548 Å, c = 7.0179 Å
α = 90.00°, β = 109.47°, γ = 90.00°
Fractional positions:
Pr1 0.0000 0.0000 0.0000
Y1 0.0000 0.5000 0.5000
Y2 0.5000 0.0000 0.5000
Er1 0.5000 0.5000 0.0000
P1 0.2558 0.0000 0.7484
P2 0.2585 0.5000 0.2565
P3 0.7415 0.5000 0.7435
P4 0.7442 0.0000 0.2516

Output
Space-group type ... No. 10
Energy of formation ... -1.5808 eV/atom

---

Entry 3:
Entry from Alexandria: crystalline YAlZnAg at its relaxed geometry (PBE).

a = 4.7755 Å, b = 4.7755 Å, c = 4.7755 Å
α = 60.00°, β = 60.00°, γ = 60.00°
Fractional positions:
Y1 0.0000 0.0000 0.0000
Al1 0.5000 0.5000 0.5000
Zn1 0.2500 0.2500 0.2500
Ag1 0.7500 0.7500 0.7500

Output
Space-group type ... No. 216
Energy of formation ... -0.3251 eV/atom

---

Entry 4:
Entry from Alexandria: crystalline MgZrPS2 at its relaxed geometry (PBE).

a = 4.9467 Å, b = 4.9467 Å, c = 5.0950 Å
α = 90.00°, β = 90.00°, γ = 90.00°
Fractional positions:
Mg1 0.0000 0.0000 0.0000
Zr1 0.5000 0.5000 0.5000
P1 0.5000 0.5000 0.0000
S1 0.0000 0.5000 0.5000
S2 0.5000 0.0000 0.5000

Output
Space-group type ... No. 123
Offset from the most stable computed form ... 0.00 eV per formula unit
Formation energy (no corrections) ... -0.392 eV/atom

---

Entry 5:
Entry from Alexandria: crystalline Pr2YEr2 at its relaxed geometry (PBE).

a = 3.5992 Å, b = 3.5992 Å, c = 14.7404 Å
α = 90.09°, β = 90.09°, γ = 60.01°
Fractional positions:
Pr1 0.1681 0.1681 0.3929
Pr2 0.8319 0.8319 0.6071
Y1 0.5000 0.5000 0.0000
Er1 0.1653 0.1653 0.8058
Er2 0.8347 0.8347 0.1942

Output
Space-group type ... No. 12
Energy of formation ... 0.0302 eV/atom
Offset from the most stable computed form ... 0.00 eV per formula unit

---

Entry 6:
Entry from Alexandria: crystalline Pr2Al3Zn4Sn at its relaxed geometry (PBE).

a = 4.3457 Å, b = 4.3457 Å, c = 10.8966 Å
α = 90.00°, β = 90.00°, γ = 90.00°
Fractional positions:
Pr1 0.0000 0.5000 0.2412
Pr2 0.5000 0.0000 0.7588
Al1 0.0000 0.5000 0.8742
Al2 0.5000 0.0000 0.1258
Al3 0.5000 0.5000 0.5000
Zn1 0.0000 0.0000 0.0000
Zn2 0.0000 0.5000 0.6491
Zn3 0.5000 0.0000 0.3509
Zn4 0.5000 0.5000 0.0000
Sn1 0.0000 0.0000 0.5000

Output
Space-group type ... No. 115
Energy of formation ... -0.3904 eV/atom

---

Entry 7:
Entry from Alexandria: crystalline LaNd2Ir at its relaxed geometry (PBE).

a = 9.5977 Å, b = 9.5977 Å, c = 9.5977 Å
α = 24.71°, β = 24.71°, γ = 24.71°
Fractional positions:
La1 0.0000 0.0000 0.0000
Nd1 0.2245 0.2245 0.2245
Nd2 0.4463 0.4463 0.4463
Ir1 0.8355 0.8355 0.8355

Output
Space-group type ... No. 160
Energy of formation ... -0.2849 eV/atom
Offset from the most stable computed form ... 0.73 eV per formula unit

---

Entry 8:
Entry from Alexandria: crystalline YGe3F at its relaxed geometry (PBE).

a = 5.5407 Å, b = 5.5407 Å, c = 5.5407 Å
α = 90.00°, β = 90.00°, γ = 90.00°
Fractional positions:
Y1 0.0000 0.0000 0.0000
Ge1 0.0000 0.0000 0.5000
Ge2 0.0000 0.5000 0.0000
Ge3 0.5000 0.0000 0.0000
F1 0.5000 0.5000 0.5000

Output
Space-group type ... No. 221
Offset from the most stable computed form ... 5.56 eV per formula unit
Formation energy (no corrections) ... 0.573 eV/atom

---

Entry 9:
Entry from Alexandria: crystalline NbBiS at its relaxed geometry (PBE).

a = 3.1961 Å, b = 3.1961 Å, c = 6.9623 Å
α = 102.36°, β = 102.36°, γ = 89.99°
Fractional positions:
Nb1 0.0000 0.0000 0.0000
Bi1 0.6869 0.6869 0.3427
S1 0.4147 0.4147 0.8177

Output
Space-group type ... No. 8
Offset from the most stable computed form ... 0.20 eV per formula unit
Formation energy (no corrections) ... -0.463 eV/atom

---

Entry 10:
Entry from Alexandria: crystalline Zr3BeAg at its relaxed geometry (PBE).

a = 4.7165 Å, b = 4.7165 Å, c = 4.7165 Å
α = 90.00°, β = 90.00°, γ = 90.00°
Fractional positions:
Zr1 0.0000 0.0000 0.5000
Zr2 0.0000 0.5000 0.0000
Zr3 0.5000 0.0000 0.0000
Be1 0.0000 0.0000 0.0000
Ag1 0.5000 0.5000 0.5000

Output
Space-group type ... No. 221
Energy of formation ... 0.3379 eV/atom
Offset from the most stable computed form ... 0.00 eV per formula unit

---

Entry 11:
Entry from Alexandria: crystalline DyHoScIn at its relaxed geometry (PBE).

a = 5.3323 Å, b = 5.3323 Å, c = 5.3323 Å
α = 60.00°, β = 60.00°, γ = 60.00°
Fractional positions:
Dy1 0.0000 0.0000 0.0000
Ho1 0.5000 0.5000 0.5000
Sc1 0.2500 0.2500 0.2500
In1 0.7500 0.7500 0.7500

Output
Space-group type ... No. 216
Energy of formation ... -0.1559 eV/atom
Offset from the most stable computed form ... 0.42 eV per formula unit

---

Entry 12:
Entry from Alexandria: crystalline PmPr4SmEr2 at its relaxed geometry (PBE).

a = 5.1651 Å, b = 5.1918 Å, c = 10.1881 Å
α = 90.00°, β = 90.07°, γ = 90.00°
Fractional positions:
Pm1 0.0000 0.0000 0.0000
Pr1 0.9997 0.5000 0.2499
Pr2 0.0003 0.5000 0.7501
Pr3 0.5001 0.0000 0.2508
Pr4 0.4999 0.0000 0.7492
Sm1 0.5000 0.5000 0.5000
Er1 0.0000 0.0000 0.5000
Er2 0.5000 0.5000 0.0000

Output
Space-group type ... No. 10
Energy of formation ... 0.0150 eV/atom

---

| no. | V (Å³ per atom) |
| --- | --- |
| 1 | 19.9 |
| 2 | 23.5 |
| 3 | 19.3 |
| 4 | 24.9 |
| 5 | 33.1 |
| 6 | 20.6 |
| 7 | 34.0 |
| 8 | 34.0 |
| 9 | 22.6 |
| 10 | 21.0 |
| 11 | 26.8 |
| 12 | 34.2 |